1.
Computed, not measured: crystalline AcCe2Os at its relaxed geometry at the PBE level of DFT.

```
4
Lattice="-2.893 0.595 2.076 0.944 -2.773 2.110 4.634 5.329 4.930" Properties=species:S:1:pos:R:3 pbc="T T T"
Ce 0.835 0.960 0.888
Ac 1.342 1.576 4.558
Ce 3.799 4.370 4.042
Os -0.975 -1.089 2.093
```

The distance to the lowest polymorph of the same formula comes out at 0.055 eV per atom.


2.
Computed, not measured: crystalline MgBPd3 at its relaxed geometry at the PBE level of DFT.

```
10
Lattice="-12.889 -9.353 9.927 -7.569 -1.742 2.873 6.191 0.938 -5.419" Properties=species:S:1:pos:R:3 pbc="T T T"
Pd 2.297 -0.731 -2.785
Pd -6.695 -2.764 2.723
Pd -16.564 -9.426 10.166
B -15.555 -7.874 9.130
Mg -9.013 -3.149 4.099
Mg -5.254 -7.007 3.283
Pd -4.685 -4.677 2.239
Pd -7.573 -7.393 4.659
Pd -9.583 -5.479 5.143
B 1.287 -2.282 -1.749
```

The distance to the lowest polymorph of the same formula comes out at 0.298 eV per atom.


3.
Computed, not measured: crystalline Ac2CuPd6Au at its relaxed geometry at the PBE level of DFT.

```
10
Lattice="-1.879 -3.471 -5.463 1.614 -5.163 4.320 -3.703 -4.859 3.267" Properties=species:S:1:pos:R:3 pbc="T T T"
Au -0.132 -4.317 -0.572
Ac -1.157 -7.216 3.738
Pd -0.517 -6.744 0.672
Pd -3.450 -6.749 1.452
Ac -2.810 -6.276 -1.614
Pd -1.937 -4.463 1.458
Cu 0.000 0.000 0.000
Pd 0.734 -4.608 1.987
Pd -2.030 -9.030 0.666
Pd -4.701 -8.884 0.137
```


no.,total energy (eV per formula unit)
1,-27.10
2,-24.79
3,-52.45